# 1
Material: NbAlTl2O
Method: DFT, PBE-GGA
State: optimized geometry

abc: 5.6398 5.6398 3.2897
angles: 90.00 90.00 90.00
Space group P4/mmm (No. 123)
Inequivalent atoms, fractional coordinates:
Nb (0.0000, 0.0000, 0.0000) x1
Al (0.5000, 0.5000, 0.5000) x1
Tl (0.0000, 0.5000, 0.5000) x2
O (0.5000, 0.5000, 0.0000) x1

Summary:
Uncorrected formation energy in eV/atom: -0.0205

---

# 2
Material: AlC2
Method: DFT, PBE-GGA
State: optimized geometry

abc: 3.0238 3.0238 3.9863
angles: 90.00 90.00 120.00
Space group P-6m2 (No. 187)
Inequivalent atoms, fractional coordinates:
Al (0.0000, 0.0000, 0.0000) x1
C (0.6667, 0.3333, 0.3393) x2

Summary:
ΔE to the lowest computed polymorph in meV/atom: 472
Formation energy in eV per formula unit: 2.3

---

# 3
Material: NdZnInAg
Method: DFT, PBE-GGA
State: optimized geometry

abc: 7.0673 7.0673 7.0673
angles: 90.00 90.00 90.00
Space group F-43m (No. 216)
Inequivalent atoms, fractional coordinates:
Nd (0.0000, 0.0000, 0.0000) x4
Zn (0.2500, 0.2500, 0.2500) x4
In (0.0000, 0.0000, 0.5000) x4
Ag (0.2500, 0.2500, 0.7500) x4

Summary:
Formation energy in eV per formula unit: -1.4

---

# 4
Material: PmCdSO6
Method: DFT, PBE-GGA
State: optimized geometry

abc: 5.2610 5.2610 4.7619
angles: 90.00 90.00 120.00
Space group P312 (No. 149)
Inequivalent atoms, fractional coordinates:
Pm (0.0000, 0.0000, 0.0000) x1
Cd (0.3333, 0.6667, 0.5000) x1
S (0.6667, 0.3333, 0.5000) x1
O (0.4034, 0.0786, 0.7075) x6

Summary:
Uncorrected formation energy in eV/atom: -1.4260

---

# 5
Material: La2OsI
Method: DFT, PBE-GGA
State: optimized geometry

abc: 4.2639 4.2639 24.4280
angles: 90.00 90.00 120.00
Space group R-3m (No. 166, hexagonal axes)
Inequivalent atoms, fractional coordinates:
La (0.0000, 0.0000, 0.2278) x6
Os (0.0000, 0.0000, 0.5000) x3
I (0.0000, 0.0000, 0.0000) x3

Summary:
Uncorrected formation energy in eV/atom: -0.6664
ΔE to the lowest computed polymorph in meV/atom: 0

---

# 6
Material: SiIr2Pb
Method: DFT, PBE-GGA
State: optimized geometry

abc: 6.4368 6.4368 6.4368
angles: 90.00 90.00 90.00
Space group Fm-3m (No. 225)
Inequivalent atoms, fractional coordinates:
Si (0.0000, 0.0000, 0.0000) x4
Ir (0.2500, 0.2500, 0.2500) x8
Pb (0.0000, 0.0000, 0.5000) x4

Summary:
Uncorrected formation energy in eV/atom: 0.4171
ΔE to the lowest computed polymorph in meV/atom: 537

---

# 7
Material: Nd2GeSe4
Method: DFT, PBE-GGA
State: optimized geometry

abc: 7.1105 7.1105 7.9193
angles: 90.00 90.00 90.00
Space group I-42m (No. 121)
Inequivalent atoms, fractional coordinates:
Nd (0.0000, 0.5000, 0.2500) x4
Ge (0.0000, 0.0000, 0.0000) x2
Se (0.2386, 0.2386, 0.5604) x8

Summary:
Uncorrected formation energy in eV/atom: -1.1458

---

# 8
Material: CePmDy2
Method: DFT, PBE-GGA
State: optimized geometry

abc: 5.0497 5.0497 4.9936
angles: 90.00 90.00 90.00
Space group P4/mmm (No. 123)
Inequivalent atoms, fractional coordinates:
Ce (0.0000, 0.0000, 0.0000) x1
Pm (0.5000, 0.5000, 0.0000) x1
Dy (0.0000, 0.5000, 0.5000) x2

Summary:
ΔE to the lowest computed polymorph in meV/atom: 21
Formation energy in eV per formula unit: 0.3

---

# 9
Material: Ac2SiPt
Method: DFT, PBE-GGA
State: optimized geometry

abc: 7.1001 4.3730 14.8542
angles: 90.00 90.00 90.00
Space group Amm2 (No. 38)
Inequivalent atoms, fractional coordinates:
Ac (0.0000, 0.0000, 0.0000) x2
Ac (0.0000, 0.0000, 0.2635) x2
Ac (0.5000, 0.0000, 0.0901) x2
Ac (0.5000, 0.0000, 0.8124) x2
Si (0.3231, 0.0000, 0.4462) x4
Pt (0.2040, 0.0000, 0.6380) x4

Summary:
Uncorrected formation energy in eV/atom: -0.8043

---

# 10
Material: BaAcPH
Method: DFT, PBE-GGA
State: optimized geometry

abc: 4.3372 4.3372 6.2691
angles: 90.00 90.00 90.00
Space group P4/mmm (No. 123)
Inequivalent atoms, fractional coordinates:
Ba (0.0000, 0.0000, 0.0000) x1
Ac (0.5000, 0.5000, 0.5000) x1
P (0.0000, 0.0000, 0.5000) x1
H (0.5000, 0.5000, 0.0000) x1

Summary:
ΔE to the lowest computed polymorph in meV/atom: 0

---

# 11
Material: HfCdCl6
Method: DFT, PBE-GGA
State: optimized geometry

abc: 6.9088 11.8633 6.6001
angles: 90.00 91.52 90.00
Space group C2/m (No. 12)
Inequivalent atoms, fractional coordinates:
Hf (0.0000, 0.0000, 0.0000) x2
Cd (0.0000, 0.0000, 0.5000) x2
Cl (0.1436, 0.1443, 0.2288) x8
Cl (0.2139, 0.5000, 0.2173) x4

Summary:
Uncorrected formation energy in eV/atom: -1.5208
ΔE to the lowest computed polymorph in meV/atom: 0

---

# 12
Material: ScReRh3
Method: DFT, PBE-GGA
State: optimized geometry

abc: 4.6965 4.6965 4.6965
angles: 90.00 90.00 90.00
Space group Pm-3m (No. 221)
Inequivalent atoms, fractional coordinates:
Sc (0.0000, 0.0000, 0.0000) x1
Re (0.5000, 0.5000, 0.5000) x1
Rh (0.0000, 0.5000, 0.5000) x3

Summary:
ΔE to the lowest computed polymorph in meV/atom: 0
Formation energy in eV per formula unit: 3.2

---

# 13
Material: SmInF2
Method: DFT, PBE-GGA
State: optimized geometry

abc: 3.9250 3.9250 22.9976
angles: 90.00 90.00 120.00
Space group R-3m (No. 166, hexagonal axes)
Inequivalent atoms, fractional coordinates:
Sm (0.0000, 0.0000, 0.0000) x3
In (0.0000, 0.0000, 0.5000) x3
F (0.0000, 0.0000, 0.0965) x6

Summary:
Uncorrected formation energy in eV/atom: -1.9812

---

# 14
Material: CoTc2Os
Method: DFT, PBE-GGA
State: optimized geometry

abc: 8.8140 2.6939 4.6536
angles: 90.00 99.86 90.00
Space group Cm (No. 8)
Inequivalent atoms, fractional coordinates:
Co (0.0000, 0.0000, 0.0000) x2
Tc (0.2544, 0.0000, 0.7718) x2
Tc (0.4982, 0.0000, 0.4979) x2
Os (0.2480, 0.5000, 0.2532) x2

Summary:
ΔE to the lowest computed polymorph in meV/atom: 145
Formation energy in eV per formula unit: 0.4

---

# 15
Material: K2Tl2Bi
Method: DFT, PBE-GGA
State: optimized geometry

abc: 12.2680 7.7723 8.6846
angles: 90.00 109.52 90.00
Space group C2/c (No. 15)
Inequivalent atoms, fractional coordinates:
K (0.1751, 0.0836, 0.1477) x8
Tl (0.0935, 0.3654, 0.4456) x8
Bi (0.0000, 0.2745, 0.7500) x4

Summary:
ΔE to the lowest computed polymorph in meV/atom: 0
Formation energy in eV per formula unit: -1.1

---

# 16
Material: LaSmHo2Se6
Method: DFT, PBE-GGA
State: optimized geometry

abc: 7.3536 7.3536 19.4688
angles: 90.00 90.00 120.00
Space group R3 (No. 146, hexagonal axes)
Inequivalent atoms, fractional coordinates:
La (0.0000, 0.0000, 0.0000) x3
Sm (0.0000, 0.0000, 0.4951) x3
Ho (0.0000, 0.0000, 0.2946) x3
Ho (0.0000, 0.0000, 0.7971) x3
Se (0.0153, 0.3110, 0.8915) x9
Se (0.0219, 0.6364, 0.0579) x9

Summary:
Uncorrected formation energy in eV/atom: -1.8799

---

# 17
Material: Ba2NaVH
Method: DFT, PBE-GGA
State: optimized geometry

abc: 6.4921 6.4921 3.7265
angles: 90.00 90.00 90.00
Space group P4/mmm (No. 123)
Inequivalent atoms, fractional coordinates:
Ba (0.0000, 0.5000, 0.0000) x2
Na (0.0000, 0.0000, 0.0000) x1
V (0.5000, 0.5000, 0.5000) x1
H (0.0000, 0.0000, 0.5000) x1

Summary:
Raw total energy in eV/atom: -2.551

---

# 18
Material: InOsRh2
Method: DFT, PBE-GGA
State: optimized geometry

abc: 9.2083 2.8309 4.8748
angles: 90.00 100.41 90.00
Space group Cm (No. 8)
Inequivalent atoms, fractional coordinates:
In (0.0000, 0.0000, 0.0000) x2
Os (0.2566, 0.5000, 0.3129) x2
Rh (0.2461, 0.0000, 0.7696) x2
Rh (0.4963, 0.0000, 0.4932) x2

Summary:
Formation energy in eV per formula unit: 0.2

---

# 19
Material: Li2CuAu
Method: DFT, PBE-GGA
State: optimized geometry

abc: 3.7669 3.8590 3.9022
angles: 90.00 90.00 90.00
Space group Pmmm (No. 47)
Inequivalent atoms, fractional coordinates:
Li (0.0000, 0.0000, 0.0000) x1
Li (0.0000, 0.5000, 0.5000) x1
Cu (0.5000, 0.0000, 0.5000) x1
Au (0.5000, 0.5000, 0.0000) x1

Summary:
Formation energy in eV per formula unit: -1.2

---

# 20
Material: InSnHg4Pb
Method: DFT, PBE-GGA
State: optimized geometry

abc: 16.0867 6.1743 8.8114
angles: 90.00 116.04 90.00
Space group C2/m (No. 12)
Inequivalent atoms, fractional coordinates:
In (0.1964, 0.0000, 0.1134) x4
Sn (0.0160, 0.0000, 0.1896) x4
Hg (0.1076, 0.2473, 0.6568) x8
Hg (0.1574, 0.5000, 0.0300) x4
Hg (0.2167, 0.0000, 0.4834) x4
Pb (0.0703, 0.5000, 0.2837) x4

Summary:
Formation energy in eV per formula unit: 0.3